# 1
VASP calculation (PBE-GGA) on NaUCl6 after structural relaxation.

a = 6.833 Å, b = 6.833 Å, c = 6.648 Å
α = 97.96°, β = 97.96°, γ = 120.97°
Last column: magnetic moment on the atom in μB.
Fractional coordinates of all 8 atoms:
Cl1 0.429 0.132 0.267  -0.03
Cl2 0.132 0.429 0.267  -0.03
Cl3 0.744 0.744 0.273  -0.03
Cl4 0.256 0.256 0.727  -0.03
Cl5 0.868 0.571 0.733  -0.03
Cl6 0.571 0.868 0.733  -0.03
Na1 0.000 0.000 0.000  0.00
U1 0.500 0.500 0.500  1.16

Computed properties:
Electronic total energy: -37.260 eV per cell

# 2
VASP calculation (PBE-GGA) on As3Au4 after structural relaxation.

a = 11.216 Å, b = 11.216 Å, c = 11.216 Å
α = 19.63°, β = 19.63°, γ = 19.63°
Fractional coordinates of all 7 atoms:
As1 0.000 0.000 0.000
As2 0.429 0.429 0.429
As3 0.571 0.571 0.571
Au1 0.141 0.141 0.141
Au2 0.286 0.286 0.286
Au3 0.714 0.714 0.714
Au4 0.859 0.859 0.859

Computed properties:
Electronic total energy: -26.182 eV per cell

# 3
VASP calculation (PBE-GGA) on RbTmPt after structural relaxation.

a = 5.053 Å, b = 5.053 Å, c = 5.053 Å
α = 60.00°, β = 60.00°, γ = 60.00°
Fractional coordinates of all 3 atoms:
Pt1 0.000 0.000 0.000
Rb1 0.250 0.250 0.250
Tm1 0.750 0.750 0.750

Computed properties:
E above lowest polymorph: 0 kJ/mol of formula units

# 4
VASP calculation (PBE-GGA) on ZrTlCu3Te4 after structural relaxation.

a = 6.170 Å, b = 8.142 Å, c = 10.430 Å
α = 90.00°, β = 106.26°, γ = 90.00°
Fractional coordinates of all 18 atoms:
Cu1 0.712 0.012 0.003
Cu2 0.712 0.488 0.003
Cu3 0.340 0.750 0.187
Cu4 0.660 0.250 0.813
Cu5 0.288 0.512 0.997
Cu6 0.288 0.988 0.997
Te1 0.030 0.250 0.027
Te2 0.597 0.022 0.228
Te3 0.597 0.478 0.228
Te4 0.240 0.750 0.421
Te5 0.760 0.250 0.579
Te6 0.403 0.522 0.772
Te7 0.403 0.978 0.772
Te8 0.970 0.750 0.973
Tl1 0.181 0.250 0.401
Tl2 0.819 0.750 0.599
Zr1 0.858 0.750 0.215
Zr2 0.142 0.250 0.785

Computed properties:
E above lowest polymorph: 0 kJ/mol of formula units

# 5
VASP calculation (PBE-GGA) on Pr2BeNiGe2 after structural relaxation.

a = 4.089 Å, b = 4.089 Å, c = 8.510 Å
α = 90.00°, β = 90.00°, γ = 120.00°
Last column: magnetic moment on the atom in μB.
Fractional coordinates of all 6 atoms:
Be1 0.000 0.000 0.000  0.02
Ge1 0.667 0.333 0.000  -0.01
Ge2 0.000 0.000 0.500  0.02
Ni1 0.667 0.333 0.500  0.07
Pr1 0.333 0.667 0.257  0.03
Pr2 0.333 0.667 0.743  0.04

Computed properties:
Electronic total energy: -31.972 eV per cell

# 6
VASP calculation (PBE-GGA) on MgTaAsW after structural relaxation.

a = 4.546 Å, b = 4.546 Å, c = 4.546 Å
α = 60.00°, β = 60.00°, γ = 60.00°
Fractional coordinates of all 4 atoms:
As1 0.250 0.250 0.250
Mg1 0.750 0.750 0.750
Ta1 0.500 0.500 0.500
W1 0.000 0.000 0.000

Computed properties:
E above lowest polymorph: 103 kJ/mol of formula units

# 7
VASP calculation (PBE-GGA) on KNaRe after structural relaxation.

a = 10.672 Å, b = 10.672 Å, c = 3.521 Å
α = 90.00°, β = 90.00°, γ = 150.43°
Fractional coordinates of all 6 atoms:
K1 0.813 0.187 0.393
K2 0.187 0.813 0.893
Na1 0.435 0.565 0.394
Na2 0.565 0.435 0.894
Re1 0.035 0.965 0.394
Re2 0.965 0.035 0.894

Computed properties:
E above lowest polymorph: 0 kJ/mol of formula units

# 8
VASP calculation (PBE-GGA) on Li4CdPPd2 after structural relaxation.

a = 4.302 Å, b = 4.302 Å, c = 6.117 Å
α = 90.00°, β = 90.00°, γ = 90.00°
Fractional coordinates of all 8 atoms:
Cd1 0.500 0.500 0.000
Li1 0.000 0.000 0.000
Li2 0.000 0.500 0.268
Li3 0.500 0.500 0.500
Li4 0.500 0.000 0.732
P1 0.000 0.000 0.500
Pd1 0.500 0.000 0.294
Pd2 0.000 0.500 0.706

Computed properties:
Electronic total energy: -28.427 eV per cell

# 9
VASP calculation (PBE-GGA) on ThSi2Pd after structural relaxation.

a = 7.170 Å, b = 4.100 Å, c = 10.304 Å
α = 90.00°, β = 90.00°, γ = 90.00°
Fractional coordinates of all 16 atoms:
Pd1 0.502 0.250 0.115
Pd2 0.002 0.250 0.385
Pd3 0.998 0.750 0.615
Pd4 0.498 0.750 0.885
Si1 0.715 0.750 0.077
Si2 0.839 0.250 0.178
Si3 0.339 0.250 0.322
Si4 0.215 0.750 0.423
Si5 0.785 0.250 0.577
Si6 0.661 0.750 0.678
Si7 0.161 0.750 0.822
Si8 0.285 0.250 0.923
Th1 0.145 0.750 0.127
Th2 0.645 0.750 0.373
Th3 0.355 0.250 0.627
Th4 0.855 0.250 0.873

Computed properties:
Electronic total energy: -107.341 eV per cell

# 10
VASP calculation (PBE-GGA) on MoIrOs2 after structural relaxation.

a = 4.400 Å, b = 5.541 Å, c = 5.541 Å
α = 59.90°, β = 90.00°, γ = 90.00°
Fractional coordinates of all 8 atoms:
Ir1 0.500 0.667 0.164
Ir2 0.500 0.164 0.667
Mo1 0.000 0.333 0.333
Mo2 0.500 0.668 0.668
Os1 0.500 0.166 0.166
Os2 0.000 0.835 0.333
Os3 0.000 0.834 0.834
Os4 0.000 0.333 0.835

Computed properties:
E above lowest polymorph: 9 kJ/mol of formula units

# 11
VASP calculation (PBE-GGA) on TmAlIr after structural relaxation.

a = 4.415 Å, b = 4.415 Å, c = 6.756 Å
α = 90.00°, β = 90.00°, γ = 120.00°
Fractional coordinates of all 6 atoms:
Al1 0.333 0.667 0.494
Al2 0.667 0.333 0.994
Ir1 0.333 0.667 0.010
Ir2 0.667 0.333 0.510
Tm1 0.000 0.000 0.246
Tm2 0.000 0.000 0.746

Computed properties:
Electronic total energy: -39.181 eV per cell

# 12
VASP calculation (PBE-GGA) on BeTcNO after structural relaxation.

a = 4.660 Å, b = 2.797 Å, c = 5.600 Å
α = 90.00°, β = 90.00°, γ = 90.00°
Fractional coordinates of all 8 atoms:
Be1 0.988 0.000 0.379
Be2 0.488 0.000 0.621
N1 0.616 0.000 0.340
N2 0.116 0.000 0.660
O1 0.108 0.500 0.260
O2 0.608 0.500 0.740
Tc1 0.534 0.500 0.098
Tc2 0.034 0.500 0.902

Computed properties:
E above lowest polymorph: 94 kJ/mol of formula units

# 13
VASP calculation (PBE-GGA) on GaAu15 after structural relaxation.

a = 5.792 Å, b = 2.912 Å, c = 47.713 Å
α = 90.00°, β = 90.05°, γ = 90.00°
Fractional coordinates of all 32 atoms:
Au1 0.375 0.250 0.022
Au2 0.875 0.250 0.022
Au3 0.625 0.750 0.067
Au4 0.125 0.750 0.067
Au5 0.375 0.250 0.112
Au6 0.875 0.250 0.112
Au7 0.125 0.750 0.157
Au8 0.625 0.750 0.157
Au9 0.876 0.250 0.201
Au10 0.374 0.250 0.201
Au11 0.625 0.750 0.246
Au12 0.125 0.750 0.247
Au13 0.878 0.250 0.291
Au14 0.372 0.250 0.291
Au15 0.625 0.750 0.335
Au16 0.375 0.250 0.665
Au17 0.628 0.750 0.709
Au18 0.122 0.750 0.709
Au19 0.875 0.250 0.753
Au20 0.375 0.250 0.754
Au21 0.626 0.750 0.799
Au22 0.124 0.750 0.799
Au23 0.375 0.250 0.843
Au24 0.875 0.250 0.843
Au25 0.125 0.750 0.888
Au26 0.625 0.750 0.888
Au27 0.875 0.250 0.933
Au28 0.375 0.250 0.933
Au29 0.125 0.750 0.978
Au30 0.625 0.750 0.978
Ga1 0.125 0.750 0.336
Ga2 0.875 0.250 0.664

Computed properties:
E above lowest polymorph: 7 kJ/mol of formula units

# 14
VASP calculation (PBE-GGA) on DyHo2Ga3AgPt2 after structural relaxation.

a = 3.711 Å, b = 7.509 Å, c = 7.509 Å
α = 120.06°, β = 90.00°, γ = 90.00°
Fractional coordinates of all 9 atoms:
Ag1 0.000 0.000 0.000
Dy1 0.000 0.592 0.592
Ga1 0.500 0.729 0.000
Ga2 0.500 0.271 0.271
Ga3 0.500 0.000 0.729
Ho1 0.000 0.408 0.000
Ho2 0.000 0.000 0.408
Pt1 0.500 0.667 0.333
Pt2 0.500 0.333 0.667

Computed properties:
Electronic total energy: -45.836 eV per cell

# 15
VASP calculation (PBE-GGA) on Li4Mg2GaHg after structural relaxation.

a = 4.640 Å, b = 4.640 Å, c = 6.551 Å
α = 90.00°, β = 90.00°, γ = 90.00°
Fractional coordinates of all 8 atoms:
Ga1 0.500 0.500 0.000
Hg1 0.000 0.000 0.500
Li1 0.000 0.000 0.000
Li2 0.000 0.500 0.245
Li3 0.500 0.500 0.500
Li4 0.500 0.000 0.755
Mg1 0.500 0.000 0.243
Mg2 0.000 0.500 0.757

Computed properties:
Electronic total energy: -16.132 eV per cell

# 16
VASP calculation (PBE-GGA) on ErUAl after structural relaxation.

a = 4.899 Å, b = 4.899 Å, c = 4.899 Å
α = 60.00°, β = 60.00°, γ = 60.00°
Fractional coordinates of all 3 atoms:
Al1 0.250 0.250 0.250
Er1 0.000 0.000 0.000
U1 0.750 0.750 0.750

Computed properties:
E above lowest polymorph: 0 kJ/mol of formula units

# 17
VASP calculation (PBE-GGA) on TbP2Se after structural relaxation.

a = 6.057 Å, b = 6.057 Å, c = 5.163 Å
α = 90.00°, β = 90.00°, γ = 92.89°
Fractional coordinates of all 8 atoms:
P1 0.482 0.268 0.250
P2 0.732 0.518 0.250
P3 0.268 0.482 0.750
P4 0.518 0.732 0.750
Se1 0.000 0.000 0.000
Se2 0.000 0.000 0.500
Tb1 0.288 0.712 0.250
Tb2 0.712 0.288 0.750

Computed properties:
Electronic total energy: -42.414 eV per cell

# 18
VASP calculation (PBE-GGA) on PmCo after structural relaxation.

a = 4.236 Å, b = 4.236 Å, c = 4.236 Å
α = 60.00°, β = 60.00°, γ = 60.00°
Fractional coordinates of all 2 atoms:
Co1 0.000 0.000 0.000
Pm1 0.250 0.250 0.250

Computed properties:
Electronic total energy: -10.119 eV per cell

# 19
VASP calculation (PBE-GGA) on RbHo4As3 after structural relaxation.

a = 4.813 Å, b = 4.813 Å, c = 10.822 Å
α = 90.00°, β = 90.00°, γ = 90.00°
Fractional coordinates of all 8 atoms:
As1 0.000 0.000 0.000
As2 0.500 0.500 0.299
As3 0.500 0.500 0.701
Ho1 0.500 0.000 0.160
Ho2 0.000 0.500 0.160
Ho3 0.500 0.000 0.840
Ho4 0.000 0.500 0.840
Rb1 0.000 0.000 0.500

Computed properties:
Electronic total energy: -39.664 eV per cell

# 20
VASP calculation (PBE-GGA) on HfCdInFe after structural relaxation.

a = 4.697 Å, b = 4.697 Å, c = 4.697 Å
α = 60.00°, β = 60.00°, γ = 60.00°
Fractional coordinates of all 4 atoms:
Cd1 0.250 0.250 0.250
Fe1 0.750 0.750 0.750
Hf1 0.500 0.500 0.500
In1 0.000 0.000 0.000

Computed properties:
E above lowest polymorph: 0 kJ/mol of formula units